Here is CaTaSe after structural relaxation from Alexandria. Energies are from GGA-PBEsol.

Output
* ΔE to the lowest computed polymorph: 0.7 kJ per mole of atoms
* ΔE_f (raw): -0.34 eV per atom
* magnetization: 0.00 μB per atom
* crystal system: tetragonal

POSCAR file:
```
CaTaSe
1.0
-1.233 0.781 -3.008
-0.409 -3.249 -0.676
-4.436 1.436 4.049
Ta Ca Se
1 1 1
direct
0.300 0.300 0.600
0.001 0.001 0.003
0.699 0.699 0.398
```

Here is CaTa3Se after structural relaxation from Alexandria. Energies are from GGA-PBEsol.

Output
* ΔE_f (raw): 0.77 eV per atom
* magnetization: 0.00 μB per atom
* crystal system: cubic

POSCAR file:
```
CaTa3Se
1.0
-3.986 1.621 2.109
-2.582 -1.443 -3.771
-0.640 -4.273 2.074
Se Ta Ca
1 3 1
direct
0.000 0.000 0.000
0.500 0.000 0.000
0.000 0.000 0.500
0.000 0.500 0.000
0.500 0.500 0.500
```

Here is CaTaSe3 after structural relaxation from Alexandria. Energies are from GGA-PBEsol.

Output
* ΔE_f (raw): -0.85 eV per atom
* magnetization: 0.00 μB per atom
* crystal system: cubic

POSCAR file:
```
CaTaSe3
1.0
-3.723 -1.479 -2.999
-0.298 -4.324 2.501
-3.331 2.039 3.129
Se Ca Ta
3 1 1
direct
0.500 0.000 0.000
0.000 0.500 0.000
0.000 0.000 0.500
0.500 0.500 0.500
0.000 0.000 0.000
```

Among the records above, which one has the lowest ΔE_f (raw)? CaTaSe3

What is the formula in the first record? CaTaSe